First-principles (GGA-PBE) data for a relaxed structure of Be3RuW, as listed in Alexandria.

extended XYZ file:
```
5
Lattice="-1.469 -3.859 0.638 2.328 -0.315 3.455 -3.143 1.570 2.261" Properties=species:S:1:pos:R:3 pbc="T T T"
Ru -1.142 -1.302 3.177
W 0.000 0.000 0.000
Be 1.164 -0.158 1.727
Be -1.572 0.785 1.130
Be -0.734 -1.929 0.319
```

Output
Magnetization, μB/cell: 1.8
Final energy, eV per cell: -25.16
Offset from the most stable computed form, eV per atom: 0.771
Calculated volume, Å³ per atom: 14.585
Space-group type: Pm-3m (221)
Formation enthalpy at 0 K, kJ per mole of atoms: 159